A) # TmMnOs | the Alexandria database | GGA-PBE | optimized geometry
# density = 10.8 g/cm³
# crystal system = tetragonal
data_TmMnOs
_chemical_formula_sum 'Tm4 Mn4 Os4'
_space_group_name_H-M_alt 'P 41 21 2'
_space_group_IT_number 92
_cell_length_a 6.7405
_cell_length_b 6.7405
_cell_length_c 5.6303
_cell_angle_alpha 90.00
_cell_angle_beta 90.00
_cell_angle_gamma 90.00
loop_
_space_group_symop_operation_xyz
'x,y,z'
'-y+1/2,x+1/2,z+1/4'
'-x,-y,z+1/2'
'y+1/2,-x+1/2,z+3/4'
'x+1/2,-y+1/2,-z+3/4'
'-y,-x,-z+1/2'
'-x+1/2,y+1/2,-z+1/4'
'y,x,-z'
loop_
_atom_site_label
_atom_site_type_symbol
_atom_site_fract_x
_atom_site_fract_y
_atom_site_fract_z
_atom_site_occupancy
Tm1 Tm 0.2366 0.2366 0.0000 1
Mn1 Mn 0.1943 0.8057 0.7500 1
Os1 Os 0.0604 0.0604 0.5000 1

---

B) # TmMnOs | the Alexandria database | GGA-PBE | optimized geometry
# density = 13.4 g/cm³
# crystal system = orthorhombic
data_TmMnOs
_chemical_formula_sum 'Tm4 Mn4 Os4'
_space_group_name_H-M_alt 'I m m a'
_space_group_IT_number 74
_space_group_name_Hall '-I 2b 2'
_cell_length_a 5.2205
_cell_length_b 5.2570
_cell_length_c 7.4685
_cell_angle_alpha 90.00
_cell_angle_beta 90.00
_cell_angle_gamma 90.00
loop_
_atom_site_label
_atom_site_type_symbol
_atom_site_fract_x
_atom_site_fract_y
_atom_site_fract_z
_atom_site_occupancy
Tm1 Tm 0.0000 0.2500 0.1233 1
Mn1 Mn 0.0000 0.0000 0.5000 1
Os1 Os 0.2500 0.2500 0.7500 1

---

Stability check: which of them is most stable? B).

---

A) # Tm2MnOs | the Alexandria database | GGA-PBE | optimized geometry
# density = 12.1 g/cm³
# crystal system = cubic
data_Tm2MnOs
_chemical_formula_sum 'Tm8 Mn4 Os4'
_space_group_name_H-M_alt 'F m -3 m'
_space_group_IT_number 225
_space_group_name_Hall '-F 4 2 3'
_cell_length_a 6.8408
_cell_length_b 6.8408
_cell_length_c 6.8408
_cell_angle_alpha 90.00
_cell_angle_beta 90.00
_cell_angle_gamma 90.00
loop_
_atom_site_label
_atom_site_type_symbol
_atom_site_fract_x
_atom_site_fract_y
_atom_site_fract_z
_atom_site_occupancy
Tm1 Tm 0.2500 0.2500 0.2500 1
Mn1 Mn 0.0000 0.0000 0.0000 1
Os1 Os 0.0000 0.0000 0.5000 1

---

B) # Tm2MnOs | the Alexandria database | GGA-PBE | optimized geometry
# density = 10.8 g/cm³
# crystal system = trigonal
data_Tm2MnOs
_chemical_formula_sum 'Tm6 Mn3 Os3'
_space_group_name_H-M_alt 'R -3 m'
_space_group_IT_number 166
_space_group_name_Hall '-R 3 2"'
_cell_length_a 3.2105
_cell_length_b 3.2105
_cell_length_c 30.0488
_cell_angle_alpha 90.00
_cell_angle_beta 90.00
_cell_angle_gamma 120.00
loop_
_atom_site_label
_atom_site_type_symbol
_atom_site_fract_x
_atom_site_fract_y
_atom_site_fract_z
_atom_site_occupancy
Tm1 Tm 0.0000 0.0000 0.0968 1
Mn1 Mn 0.0000 0.0000 0.0000 1
Os1 Os 0.0000 0.0000 0.5000 1

---

C) # Tm2MnOs | the Alexandria database | GGA-PBE | optimized geometry
# density = 12.0 g/cm³
# crystal system = tetragonal
data_Tm2MnOs
_chemical_formula_sum 'Tm2 Mn1 Os1'
_space_group_name_H-M_alt 'P 4/m m m'
_space_group_IT_number 123
_space_group_name_Hall '-P 4 2'
_cell_length_a 3.4019
_cell_length_b 3.4019
_cell_length_c 6.9842
_cell_angle_alpha 90.00
_cell_angle_beta 90.00
_cell_angle_gamma 90.00
loop_
_atom_site_label
_atom_site_type_symbol
_atom_site_fract_x
_atom_site_fract_y
_atom_site_fract_z
_atom_site_occupancy
Tm1 Tm 0.0000 0.0000 0.2335 1
Mn1 Mn 0.5000 0.5000 0.5000 1
Os1 Os 0.5000 0.5000 0.0000 1

---

Stability check: which of them is most stable? A).

---

A) # UMnOs | the Alexandria database | GGA-PBE | optimized geometry
# density = 14.9 g/cm³
# crystal system = trigonal
data_UMnOs
_chemical_formula_sum 'U1 Mn1 Os1'
_space_group_name_H-M_alt 'P 3 m 1'
_space_group_IT_number 156
_cell_length_a 3.8879
_cell_length_b 3.8879
_cell_length_c 4.1041
_cell_angle_alpha 90.00
_cell_angle_beta 90.00
_cell_angle_gamma 120.00
loop_
_space_group_symop_operation_xyz
'x,y,z'
'-y,x-y,z'
'-x+y,-x,z'
'-y,-x,z'
'-x+y,y,z'
'x,x-y,z'
loop_
_atom_site_label
_atom_site_type_symbol
_atom_site_fract_x
_atom_site_fract_y
_atom_site_fract_z
_atom_site_occupancy
U1 U 0.0000 0.0000 0.0000 1
Mn1 Mn 0.3333 0.6667 0.4095 1
Os1 Os 0.6667 0.3333 0.5688 1

---

B) # UMnOs | the Alexandria database | GGA-PBE | optimized geometry
# density = 15.1 g/cm³
# crystal system = orthorhombic
data_UMnOs
_chemical_formula_sum 'U2 Mn2 Os2'
_space_group_name_H-M_alt 'P m m a'
_space_group_IT_number 51
_cell_length_a 7.8435
_cell_length_b 3.7958
_cell_length_c 3.5760
_cell_angle_alpha 90.00
_cell_angle_beta 90.00
_cell_angle_gamma 90.00
loop_
_space_group_symop_operation_xyz
'x,y,z'
'-x,-y,-z'
'-x+1/2,-y,z'
'x+1/2,y,-z'
'x+1/2,-y,-z'
'-x+1/2,y,z'
'-x,y,-z'
'x,-y,z'
loop_
_atom_site_label
_atom_site_type_symbol
_atom_site_fract_x
_atom_site_fract_y
_atom_site_fract_z
_atom_site_occupancy
U1 U 0.0000 0.0000 0.0000 1
Mn1 Mn 0.2500 0.0000 0.3688 1
Os1 Os 0.2500 0.5000 0.8247 1

---

C) # UMnOs | the Alexandria database | GGA-PBE | optimized geometry
# density = 15.7 g/cm³
# crystal system = tetragonal
data_UMnOs
_chemical_formula_sum 'U2 Mn2 Os2'
_space_group_name_H-M_alt 'I 4 m m'
_space_group_IT_number 107
_space_group_name_Hall 'I 4 -2'
_cell_length_a 3.6292
_cell_length_b 3.6292
_cell_length_c 7.7547
_cell_angle_alpha 90.00
_cell_angle_beta 90.00
_cell_angle_gamma 90.00
loop_
_atom_site_label
_atom_site_type_symbol
_atom_site_fract_x
_atom_site_fract_y
_atom_site_fract_z
_atom_site_occupancy
U1 U 0.0000 0.0000 0.0000 1
Mn1 Mn 0.0000 0.0000 0.7143 1
Os1 Os 0.0000 0.0000 0.3227 1

---

D) # UMnOs | the Alexandria database | GGA-PBE | optimized geometry
# density = 16.7 g/cm³
# crystal system = orthorhombic
data_UMnOs
_chemical_formula_sum 'U4 Mn4 Os4'
_space_group_name_H-M_alt 'I m m a'
_space_group_IT_number 74
_space_group_name_Hall '-I 2b 2'
_cell_length_a 4.5276
_cell_length_b 5.4866
_cell_length_c 7.7440
_cell_angle_alpha 90.00
_cell_angle_beta 90.00
_cell_angle_gamma 90.00
loop_
_atom_site_label
_atom_site_type_symbol
_atom_site_fract_x
_atom_site_fract_y
_atom_site_fract_z
_atom_site_occupancy
U1 U 0.0000 0.2500 0.1436 1
Mn1 Mn 0.2500 0.2500 0.7500 1
Os1 Os 0.0000 0.0000 0.5000 1

---

Stability check: which of them is most stable? D).

---

A) # MnV2Os2 | the Alexandria database | GGA-PBE | optimized geometry
# density = 12.0 g/cm³
# crystal system = tetragonal
data_MnV2Os2
_chemical_formula_sum 'Mn2 V4 Os4'
_space_group_name_H-M_alt 'P 4/m b m'
_space_group_IT_number 127
_space_group_name_Hall '-P 4 2ab'
_cell_length_a 7.1641
_cell_length_b 7.1641
_cell_length_c 2.8874
_cell_angle_alpha 90.00
_cell_angle_beta 90.00
_cell_angle_gamma 90.00
loop_
_atom_site_label
_atom_site_type_symbol
_atom_site_fract_x
_atom_site_fract_y
_atom_site_fract_z
_atom_site_occupancy
Mn1 Mn 0.0000 0.0000 0.0000 1
V1 V 0.1565 0.3435 0.5000 1
Os1 Os 0.1423 0.6423 0.0000 1

---

B) # MnV2Os2 | the Alexandria database | GGA-PBE | optimized geometry
# density = 12.1 g/cm³
# crystal system = tetragonal
data_MnV2Os2
_chemical_formula_sum 'Mn2 V4 Os4'
_space_group_name_H-M_alt 'P 4/m b m'
_space_group_IT_number 127
_space_group_name_Hall '-P 4 2ab'
_cell_length_a 7.2164
_cell_length_b 7.2164
_cell_length_c 2.8252
_cell_angle_alpha 90.00
_cell_angle_beta 90.00
_cell_angle_gamma 90.00
loop_
_atom_site_label
_atom_site_type_symbol
_atom_site_fract_x
_atom_site_fract_y
_atom_site_fract_z
_atom_site_occupancy
Mn1 Mn 0.0000 0.0000 0.0000 1
V1 V 0.1463 0.3537 0.0000 1
Os1 Os 0.1520 0.6520 0.5000 1

---

Stability check: which of them is most stable? A).

---

A) # MnVOs3 | the Alexandria database | GGA-PBE | optimized geometry
# density = 12.6 g/cm³
# crystal system = cubic
data_MnVOs3
_chemical_formula_sum 'Mn1 V1 Os3'
_space_group_name_H-M_alt 'P m -3 m'
_space_group_IT_number 221
_space_group_name_Hall '-P 4 2 3'
_cell_length_a 4.4725
_cell_length_b 4.4725
_cell_length_c 4.4725
_cell_angle_alpha 90.00
_cell_angle_beta 90.00
_cell_angle_gamma 90.00
loop_
_atom_site_label
_atom_site_type_symbol
_atom_site_fract_x
_atom_site_fract_y
_atom_site_fract_z
_atom_site_occupancy
Mn1 Mn 0.0000 0.0000 0.0000 1
V1 V 0.5000 0.5000 0.5000 1
Os1 Os 0.0000 0.5000 0.5000 1

---

B) # MnVOs3 | the Alexandria database | GGA-PBE | optimized geometry
# density = 13.2 g/cm³
# crystal system = cubic
data_MnVOs3
_chemical_formula_sum 'Mn1 V1 Os3'
_space_group_name_H-M_alt 'P m -3 m'
_space_group_IT_number 221
_space_group_name_Hall '-P 4 2 3'
_cell_length_a 4.3949
_cell_length_b 4.3949
_cell_length_c 4.3949
_cell_angle_alpha 90.00
_cell_angle_beta 90.00
_cell_angle_gamma 90.00
loop_
_atom_site_label
_atom_site_type_symbol
_atom_site_fract_x
_atom_site_fract_y
_atom_site_fract_z
_atom_site_occupancy
Mn1 Mn 0.0000 0.0000 0.0000 1
V1 V 0.5000 0.5000 0.5000 1
Os1 Os 0.0000 0.0000 0.5000 1

---

Stability check: which of them is most stable? B).